Below is a geometry-optimized MgCrP2O8 structure, with properties calculated at the GGA+U level.

```
MgCrP2O8
1.0
-3.226 3.226 2.919
3.226 -3.226 2.919
3.226 3.226 -2.919
Mg Cr P O
1 1 2 8
Direct
0.000 0.000 0.000
0.250 0.750 0.500
0.500 0.500 0.000
0.750 0.250 0.500
0.329 0.144 0.815
0.329 0.515 0.185
0.396 0.078 0.318
0.485 0.671 0.815
0.759 0.078 0.682
0.856 0.671 0.185
0.922 0.241 0.318
0.922 0.604 0.682
```

Summary:
As for the total magnetization: 1.99 Bohr magnetons per cell. The value obtained for the total energy is -83.63 eV/cell.